First-principles (PBE) data for an optimized crystal structure of KIn2P, as listed in the Alexandria database.

Values from the calculation:
formation energy	0.143	eV/atom
DOS(E_F)	2.68	states/eV per cell
total magnetization	0.0	μB/f.u.
theoretical density	4.62	Mg/m³

a = 4.957 Å, b = 4.957 Å, c = 8.758 Å
α = 90.00°, β = 90.00°, γ = 90.00°
Space group I-4m2 (No. 119)
Symmetry-distinct sites (fractional):
1 K 0.000 0.000 0.000 [2 per cell]
2 In 0.000 0.000 0.500 [2 per cell]
3 In 0.000 0.500 0.250 [2 per cell]
4 P 0.000 0.500 0.750 [2 per cell]

=====

First-principles (PBE) data for an optimized crystal structure of ScCuSnS4, as listed in the Alexandria database.

Values from the calculation:
formation energy (no corrections)	-0.903	eV per atom
DOS(E_F)	4.53	states/eV per cell
total magnetization	0.0	μB/f.u.
theoretical density	4.05	Mg/m³

a = 7.372 Å, b = 7.510 Å, c = 10.529 Å
α = 90.00°, β = 90.00°, γ = 90.00°
Space group Imma (No. 74)
Symmetry-distinct sites (fractional):
1 Sc 0.250 0.250 0.250 [4 per cell]
2 Cu 0.000 0.250 0.634 [4 per cell]
3 Sn 0.000 0.000 0.000 [4 per cell]
4 S 0.000 0.009 0.247 [8 per cell]
5 S 0.247 0.250 0.001 [8 per cell]

=====

What is the DOS(E_F) in the second record?
4.53 states/eV per cell